# PBE-GGA La2Sm6Cd, relaxed
data_La2Sm6Cd
_chemical_formula_sum 'La4 Sm12 Cd2'
_symmetry_space_group_name_H-M 'P n n m'
_symmetry_Int_Tables_number 58
_symmetry_space_group_name_Hall '-P 2 2n'
_cell_length_a 10.007
_cell_length_b 10.519
_cell_length_c 5.646
_cell_angle_alpha 90.00
_cell_angle_beta 90.00
_cell_angle_gamma 90.00
loop_
_atom_site_label
_atom_site_fract_x
_atom_site_fract_y
_atom_site_fract_z
La1 0.185 0.249 0.000
Sm1 0.013 0.185 0.500
Sm2 0.140 0.603 0.000
Sm3 0.184 0.925 0.000
Cd1 0.000 0.500 0.500
# N(E_F)   24.4 states/eV per cell
# V   33.018 Å³/atom

---

# PBE-GGA La2Sm3Cd4, relaxed
data_La2Sm3Cd4
_chemical_formula_sum 'La8 Sm12 Cd16'
_symmetry_space_group_name_H-M 'C m c e'
_symmetry_Int_Tables_number 64
_symmetry_space_group_name_Hall '-C 2ac 2'
_cell_length_a 6.965
_cell_length_b 18.822
_cell_length_c 8.453
_cell_angle_alpha 90.00
_cell_angle_beta 90.00
_cell_angle_gamma 90.00
loop_
_atom_site_label
_atom_site_fract_x
_atom_site_fract_y
_atom_site_fract_z
La1 0.000 0.092 0.096
Sm1 0.000 0.000 0.500
Sm2 0.250 0.247 0.750
Cd1 0.000 0.163 0.490
Cd2 0.250 0.075 0.750
# N(E_F)   43.0 states/eV per cell
# V   30.782 Å³/atom

---

# PBE-GGA La3SmCd, relaxed
data_La3SmCd
_chemical_formula_sum 'La6 Sm2 Cd2'
_symmetry_space_group_name_H-M 'I m m 2'
_symmetry_Int_Tables_number 44
_symmetry_space_group_name_Hall 'I 2 -2'
_cell_length_a 5.391
_cell_length_b 9.209
_cell_length_c 6.851
_cell_angle_alpha 90.00
_cell_angle_beta 90.00
_cell_angle_gamma 90.00
loop_
_atom_site_label
_atom_site_fract_x
_atom_site_fract_y
_atom_site_fract_z
La1 0.000 0.000 0.000
La2 0.000 0.301 0.721
Sm1 0.000 0.500 0.216
Cd1 0.000 0.000 0.457
# N(E_F)   14.1 states/eV per cell
# Offset from the most stable computed form   89 meV per atom
# V   34.010 Å³/atom

---

# PBE-GGA LaSm5Cd4, relaxed
data_LaSm5Cd4
_chemical_formula_sum 'La1 Sm5 Cd4'
_symmetry_space_group_name_H-M 'P 4/m m m'
_symmetry_Int_Tables_number 123
_symmetry_space_group_name_Hall '-P 4 2'
_cell_length_a 3.788
_cell_length_b 3.788
_cell_length_c 20.413
_cell_angle_alpha 90.00
_cell_angle_beta 90.00
_cell_angle_gamma 90.00
loop_
_atom_site_label
_atom_site_fract_x
_atom_site_fract_y
_atom_site_fract_z
La1 0.000 0.000 0.000
Sm1 0.500 0.500 0.123
Sm2 0.500 0.500 0.312
Sm3 0.500 0.500 0.500
Cd1 0.000 0.000 0.216
Cd2 0.000 0.000 0.405
# N(E_F)   13.5 states/eV per cell
# V   29.296 Å³/atom

---

# PBE-GGA LaSmCd5, relaxed
data_LaSmCd5
_chemical_formula_sum 'La1 Sm1 Cd5'
_symmetry_space_group_name_H-M 'P 4/m m m'
_symmetry_Int_Tables_number 123
_symmetry_space_group_name_Hall '-P 4 2'
_cell_length_a 5.320
_cell_length_b 5.320
_cell_length_c 6.913
_cell_angle_alpha 90.00
_cell_angle_beta 90.00
_cell_angle_gamma 90.00
loop_
_atom_site_label
_atom_site_fract_x
_atom_site_fract_y
_atom_site_fract_z
La1 0.000 0.000 0.000
Sm1 0.500 0.500 0.500
Cd1 0.000 0.500 0.271
Cd2 0.500 0.500 0.000
# N(E_F)   3.9 states/eV per cell
# V   27.949 Å³/atom

---

# PBE-GGA La8SmCd2, relaxed
data_La8SmCd2
_chemical_formula_sum 'La16 Sm2 Cd4'
_symmetry_space_group_name_H-M 'C 1 2/m 1'
_symmetry_Int_Tables_number 12
_symmetry_space_group_name_Hall '-C 2y'
_cell_length_a 9.089
_cell_length_b 15.429
_cell_length_c 5.985
_cell_angle_alpha 90.00
_cell_angle_beta 112.44
_cell_angle_gamma 90.00
loop_
_atom_site_label
_atom_site_fract_x
_atom_site_fract_y
_atom_site_fract_z
La1 0.000 0.224 0.000
La2 0.101 0.500 0.805
La3 0.198 0.109 0.601
Sm1 0.000 0.000 0.000
Cd1 0.000 0.306 0.500
# N(E_F)   30.2 states/eV per cell
# Offset from the most stable computed form   70 meV per atom
# V   35.263 Å³/atom

---

# PBE-GGA La3SmCd, relaxed
data_La3SmCd
_chemical_formula_sum 'La6 Sm2 Cd2'
_symmetry_space_group_name_H-M 'P -1'
_symmetry_Int_Tables_number 2
_symmetry_space_group_name_Hall '-P 1'
_cell_length_a 3.828
_cell_length_b 8.990
_cell_length_c 10.259
_cell_angle_alpha 77.10
_cell_angle_beta 79.26
_cell_angle_gamma 89.98
loop_
_atom_site_label
_atom_site_fract_x
_atom_site_fract_y
_atom_site_fract_z
La1 0.003 0.283 0.492
La2 0.189 0.373 0.124
La3 0.203 0.837 0.094
Sm1 0.405 0.964 0.688
Cd1 0.395 0.427 0.708
# N(E_F)   13.4 states/eV per cell
# Offset from the most stable computed form   0 meV per atom
# V   33.784 Å³/atom

---

# PBE-GGA La2SmCd, relaxed
data_La2SmCd
_chemical_formula_sum 'La16 Sm8 Cd8'
_symmetry_space_group_name_H-M 'F m m m'
_symmetry_Int_Tables_number 69
_symmetry_space_group_name_Hall '-F 2 2'
_cell_length_a 7.577
_cell_length_b 7.585
_cell_length_c 18.108
_cell_angle_alpha 90.00
_cell_angle_beta 90.00
_cell_angle_gamma 90.00
loop_
_atom_site_label
_atom_site_fract_x
_atom_site_fract_y
_atom_site_fract_z
La1 0.000 0.000 0.137
La2 0.250 0.250 0.000
Sm1 0.000 0.000 0.358
Cd1 0.250 0.250 0.250
# N(E_F)   37.2 states/eV per cell
# Offset from the most stable computed form   0 meV per atom
# V   32.520 Å³/atom

---

# PBE-GGA La2SmCd8, relaxed
data_La2SmCd8
_chemical_formula_sum 'La4 Sm2 Cd16'
_symmetry_space_group_name_H-M 'C 1 2/m 1'
_symmetry_Int_Tables_number 12
_symmetry_space_group_name_Hall '-C 2y'
_cell_length_a 8.556
_cell_length_b 16.163
_cell_length_c 5.405
_cell_angle_alpha 90.00
_cell_angle_beta 129.15
_cell_angle_gamma 90.00
loop_
_atom_site_label
_atom_site_fract_x
_atom_site_fract_y
_atom_site_fract_z
La1 0.000 0.192 0.000
Sm1 0.000 0.500 0.500
Cd1 0.000 0.302 0.500
Cd2 0.001 0.000 0.752
Cd3 0.224 0.377 0.225
# N(E_F)   15.8 states/eV per cell
# V   26.349 Å³/atom

---

# PBE-GGA LaSm2Cd3, relaxed
data_LaSm2Cd3
_chemical_formula_sum 'La1 Sm2 Cd3'
_symmetry_space_group_name_H-M 'P 4/m m m'
_symmetry_Int_Tables_number 123
_symmetry_space_group_name_Hall '-P 4 2'
_cell_length_a 3.841
_cell_length_b 3.841
_cell_length_c 11.648
_cell_angle_alpha 90.00
_cell_angle_beta 90.00
_cell_angle_gamma 90.00
loop_
_atom_site_label
_atom_site_fract_x
_atom_site_fract_y
_atom_site_fract_z
La1 0.000 0.000 0.000
Sm1 0.000 0.000 0.338
Cd1 0.500 0.500 0.178
Cd2 0.500 0.500 0.500
# N(E_F)   7.4 states/eV per cell
# V   28.640 Å³/atom

---

# PBE-GGA LaSm4Cd2, relaxed
data_LaSm4Cd2
_chemical_formula_sum 'La3 Sm12 Cd6'
_symmetry_space_group_name_H-M 'R -3 m'
_symmetry_Int_Tables_number 166
_symmetry_space_group_name_Hall '-R 3 2"'
_cell_length_a 5.1376
_cell_length_b 5.1376
_cell_length_c 32.1011
_cell_angle_alpha 90.00
_cell_angle_beta 90.00
_cell_angle_gamma 120.00
loop_
_atom_site_label
_atom_site_fract_x
_atom_site_fract_y
_atom_site_fract_z
La1 0.0000 0.0000 0.0000
Sm1 0.0000 0.0000 0.2022
Sm2 0.0000 0.0000 0.3925
Cd1 0.0000 0.0000 0.1006
# N(E_F)   42.1 states/eV per cell
# V   34.943 Å³/atom

---

# PBE-GGA LaSmCd3, relaxed
data_LaSmCd3
_chemical_formula_sum 'La4 Sm4 Cd12'
_symmetry_space_group_name_H-M 'C m c m'
_symmetry_Int_Tables_number 63
_symmetry_space_group_name_Hall '-C 2c 2'
_cell_length_a 3.561
_cell_length_b 30.304
_cell_length_c 5.079
_cell_angle_alpha 90.00
_cell_angle_beta 90.00
_cell_angle_gamma 90.00
loop_
_atom_site_label
_atom_site_fract_x
_atom_site_fract_y
_atom_site_fract_z
La1 0.000 0.075 0.250
Sm1 0.000 0.214 0.750
Cd1 0.000 0.324 0.750
Cd2 0.000 0.378 0.250
Cd3 0.000 0.476 0.250
# N(E_F)   19.0 states/eV per cell
# V   27.407 Å³/atom

---

no.,calculated formation energy (eV/f.u.)
1,0.01
2,-1.52
3,-0.15
4,-2.48
5,-1.05
6,-0.16
7,-0.59
8,-0.63
9,-3.06
10,-1.91
11,1.36
12,-1.64